1.
Material: Dy2YPuO8
Method: DFT, GGA-PBE
State: optimized geometry

Cell: 5.093 5.093 6.976 Å, 90.00 90.00 91.00°
Each line ends with the local moment (μB).
Atoms (fractional coordinates):
Dy  0.500  0.500  0.741  -0.01
Dy  0.500  0.500  0.259  -0.01
Y  0.000  0.000  0.500  0.00
Pu  0.000  0.000  0.000  1.42
O  0.183  0.815  0.221  -0.06
O  0.720  0.721  0.000  -0.07
O  0.816  0.184  0.221  -0.06
O  0.817  0.185  0.779  -0.06
O  0.280  0.279  0.000  -0.07
O  0.184  0.816  0.779  -0.06
O  0.691  0.692  0.500  -0.01
O  0.309  0.308  0.500  -0.01

Output
The value obtained for the calculated density is 7213 kg/m3. The raw formation energy is -3.09 eV per atom. The total moment is 1.00 μB/cell. As for the space-group type: Cmmm, No. 65.



2.
Material: In3Sn8Pb3
Method: DFT, GGA-PBE
State: optimized geometry

Cell: 5.459 9.068 9.068 Å, 86.15 72.48 72.48°
Atoms (fractional coordinates):
In  0.500  0.000  0.000
In  0.000  0.845  0.155
In  0.000  0.155  0.845
Sn  0.633  0.111  0.623
Sn  0.367  0.889  0.377
Sn  0.633  0.623  0.111
Sn  0.367  0.377  0.889
Sn  0.856  0.767  0.520
Sn  0.144  0.233  0.480
Sn  0.856  0.520  0.767
Sn  0.144  0.480  0.233
Pb  0.500  0.500  0.500
Pb  0.784  0.216  0.216
Pb  0.216  0.784  0.784

Output
The calculation puts the formation energy at 0.07 eV per atom. The value obtained for the calculated density is 7795 kg/m3. The total moment is 0.00 μB/cell. As for the space-group type: Immm, No. 71.



3.
Material: La2PmPd9
Method: DFT, GGA-PBE
State: optimized geometry

Cell: 4.219 4.219 12.640 Å, 90.00 90.00 90.00°
Atoms (fractional coordinates):
La  0.000  0.000  0.331
La  0.000  0.000  0.669
Pm  0.000  0.000  0.000
Pd  0.500  0.500  0.000
Pd  0.500  0.500  0.333
Pd  0.500  0.500  0.667
Pd  0.500  0.000  0.164
Pd  0.500  0.000  0.500
Pd  0.500  0.000  0.836
Pd  0.000  0.500  0.164
Pd  0.000  0.500  0.500
Pd  0.000  0.500  0.836

Output
The calculation puts the formation energy at -0.79 eV per atom. The value obtained for the calculated density is 10189 kg/m3. Its energy relative to the lowest polymorph listed for this composition is 0.000 eV per atom. The total moment is 0.00 μB/cell. As for the space-group type: P4/mmm, No. 123.



4.
Material: BaCa8Mg4
Method: DFT, GGA-PBE
State: optimized geometry

Cell: 6.785 9.138 9.138 Å, 82.08 68.21 68.21°
Atoms (fractional coordinates):
Ba  0.000  0.000  0.000
Ca  0.000  0.347  0.653
Ca  0.000  0.653  0.347
Ca  0.347  0.653  0.653
Ca  0.653  0.347  0.347
Ca  0.500  0.783  0.217
Ca  0.500  0.217  0.783
Ca  0.283  0.217  0.217
Ca  0.717  0.783  0.783
Mg  0.000  0.000  0.500
Mg  0.500  0.000  0.500
Mg  0.000  0.500  0.000
Mg  0.500  0.500  0.000

Output
The calculation puts the formation energy at -0.02 eV per atom. The value obtained for the calculated density is 1887 kg/m3. The total moment is 0.00 μB/cell. As for the space-group type: I4/mmm, No. 139.



5.
Material: NdThZnHg
Method: DFT, GGA-PBE
State: optimized geometry

Cell: 5.324 5.324 5.324 Å, 60.00 60.00 60.00°
Atoms (fractional coordinates):
Zn  0.000  0.000  0.000
Nd  0.250  0.250  0.250
Hg  0.500  0.500  0.500
Th  0.750  0.750  0.750

Output
The calculation puts the formation energy at -0.24 eV per atom. The value obtained for the calculated density is 9995 kg/m3. The total moment is 0.01 μB/cell. As for the space-group type: F-43m, No. 216.



6.
Material: Tb3ScSn3
Method: DFT, GGA-PBE
State: optimized geometry

Cell: 6.146 9.304 9.304 Å, 120.00 90.00 90.00°
Atoms (fractional coordinates):
Tb  0.750  0.691  0.655
Tb  0.750  0.345  0.036
Tb  0.750  0.964  0.309
Tb  0.250  0.309  0.345
Tb  0.250  0.655  0.964
Tb  0.250  0.036  0.691
Sc  0.250  0.667  0.333
Sc  0.750  0.333  0.667
Sn  0.250  0.675  0.649
Sn  0.250  0.351  0.026
Sn  0.250  0.974  0.325
Sn  0.750  0.325  0.351
Sn  0.750  0.649  0.974
Sn  0.750  0.026  0.675

Output
The calculation puts the formation energy at -0.38 eV per atom. The value obtained for the calculated density is 6328 kg/m3. The total moment is 0.00 μB/cell. As for the space-group type: P6_3/m, No. 176.